{
  "formula": "NaY2Mo2",
  "functional": "PBE",
  "state": "relaxed",
  "lattice": [[8.8246, 0.0000, 0.0000], [0.0000, 8.8246, 0.0000], [0.0000, 0.0000, 3.1962]],
  "species": ["Na", "Na", "Y", "Y", "Y", "Y", "Mo", "Mo", "Mo", "Mo"],
  "fractional_positions": [[0.0000, 0.0000, 0.0000], [0.5000, 0.5000, 0.0000], [0.1950, 0.3050, 0.0000], [0.3050, 0.8050, 0.0000], [0.6950, 0.1950, 0.0000], [0.8050, 0.6950, 0.0000], [0.0913, 0.5913, 0.5000], [0.4087, 0.0913, 0.5000], [0.5913, 0.9087, 0.5000], [0.9087, 0.4087, 0.5000]],
  "dos_at_fermi_per_ev_atom": 1.45,
  "energy_ev_per_cell": -66.041,
  "e_form_mev_per_atom": 578,
  "total_magnetization_mub_per_fu": 0.2
}

{
  "formula": "CuTe2",
  "functional": "PBE",
  "state": "relaxed",
  "lattice": [[4.4690, 0.0000, 0.0000], [-2.2345, 3.8702, 0.0000], [0.0000, 0.0000, 8.8771]],
  "species": ["Cu", "Cu", "Te", "Te", "Te", "Te"],
  "fractional_positions": [[0.3333, 0.6667, 0.2500], [0.6667, 0.3333, 0.7500], [0.0000, 0.0000, 0.0000], [0.0000, 0.0000, 0.5000], [0.3333, 0.6667, 0.7500], [0.6667, 0.3333, 0.2500]],
  "dos_at_fermi_per_ev_atom": 0.63,
  "energy_ev_per_cell": -18.925,
  "raw_formation_energy_ev_per_atom": 0.306,
  "total_magnetization_mub_per_fu": 0.0
}

{
  "formula": "CsMnGaCl4",
  "functional": "PBE",
  "state": "relaxed",
  "lattice": [[6.2874, 0.0000, 0.0000], [0.0000, 7.4949, 0.0000], [-2.0558, 0.0000, 9.5945]],
  "species": ["Cs", "Cs", "Mn", "Mn", "Ga", "Ga", "Cl", "Cl", "Cl", "Cl", "Cl", "Cl", "Cl", "Cl"],
  "fractional_positions": [[0.2384, 0.2500, 0.4092], [0.7616, 0.7500, 0.5908], [0.1105, 0.2500, 0.8027], [0.8895, 0.7500, 0.1973], [0.3447, 0.7500, 0.9672], [0.6553, 0.2500, 0.0328], [0.0996, 0.2500, 0.0413], [0.2111, 0.7500, 0.3655], [0.2935, 0.5100, 0.7499], [0.2935, 0.9900, 0.7499], [0.7065, 0.0100, 0.2501], [0.7065, 0.4900, 0.2501], [0.7889, 0.2500, 0.6345], [0.9004, 0.7500, 0.9587]],
  "dos_at_fermi_per_ev_atom": 0.00,
  "energy_ev_per_cell": -58.549,
  "raw_formation_energy_ev_per_atom": -1.263,
  "total_magnetization_mub_per_fu": 5.0
}

{
  "formula": "BaCoRe2",
  "functional": "PBE",
  "state": "relaxed",
  "lattice": [[2.6108, -5.2593, 0.0000], [2.6108, 5.2593, 0.0000], [0.0000, 0.0000, 2.7921]],
  "species": ["Ba", "Co", "Re", "Re"],
  "fractional_positions": [[0.0000, 0.0000, 0.0000], [0.5000, 0.5000, 0.0000], [0.0000, 0.5000, 0.5000], [0.5000, 0.0000, 0.5000]],
  "dos_at_fermi_per_ev_atom": 1.11,
  "energy_ev_per_cell": -27.778,
  "e_form_mev_per_atom": 1537,
  "total_magnetization_mub_per_fu": 2.0
}

{
  "formula": "Ba2Hg2Sb",
  "functional": "PBE",
  "state": "relaxed",
  "lattice": [[-3.3166, 3.3166, 4.4649], [3.3166, -3.3166, 4.4649], [3.3166, 3.3166, -4.4649]],
  "species": ["Ba", "Ba", "Hg", "Hg", "Sb"],
  "fractional_positions": [[0.2500, 0.7500, 0.5000], [0.7500, 0.2500, 0.5000], [0.1567, 0.1567, 0.0000], [0.8433, 0.8433, 0.0000], [0.5000, 0.5000, 0.0000]],
  "dos_at_fermi_per_ev_atom": 0.91,
  "energy_ev_per_cell": -10.688,
  "raw_formation_energy_ev_per_atom": -0.423,
  "total_magnetization_mub_per_fu": 0.0
}

{
  "formula": "AsP2I",
  "functional": "PBE",
  "state": "relaxed",
  "lattice": [[0.0000, 3.4148, 3.4148], [3.4148, 0.0000, 3.4148], [3.4148, 3.4148, 0.0000]],
  "species": ["As", "P", "P", "I"],
  "fractional_positions": [[0.0000, 0.0000, 0.0000], [0.2500, 0.2500, 0.2500], [0.7500, 0.7500, 0.7500], [0.5000, 0.5000, 0.5000]],
  "dos_at_fermi_per_ev_atom": 0.66,
  "energy_ev_per_cell": -13.171,
  "raw_formation_energy_ev_per_atom": 0.962,
  "total_magnetization_mub_per_fu": 0.0
}